[1]
La2GeRuN: relaxed, PBE.

a b c (Å): 5.1993 5.1993 3.9406
angles (deg): 90.00 90.00 90.00
Atoms (fractional coordinates):
La (0.0000, 0.5000, 0.0000)
La (0.5000, 0.0000, 0.0000)
Ge (0.0000, 0.0000, 0.5000)
Ru (0.5000, 0.5000, 0.5000)
N (0.5000, 0.5000, 0.0000)

Values from the calculation:
As for the density of states at the Fermi level: 4.7 states/eV/f.u. The value obtained for the uncorrected formation energy is -343 kJ/mol of formula units. Its space-group type is P4/mmm, No. 123. The uncorrected energy comes out at -7.1255 eV/atom.



[2]
RbErGeBr6: relaxed, PBE.

a b c (Å): 7.3178 7.3178 7.6482
angles (deg): 90.00 90.00 120.00
Atoms (fractional coordinates):
Rb (0.0000, 0.0000, 0.0000)
Er (0.3333, 0.6667, 0.5000)
Ge (0.6667, 0.3333, 0.5000)
Br (0.0046, 0.3758, 0.2893)
Br (0.0046, 0.6288, 0.7107)
Br (0.3712, 0.3758, 0.7107)
Br (0.3712, 0.9954, 0.2893)
Br (0.6242, 0.6288, 0.2893)
Br (0.6242, 0.9954, 0.7107)

Values from the calculation:
As for the density of states at the Fermi level: 0.0 states/eV/f.u. The value obtained for the uncorrected formation energy is -1248 kJ/mol of formula units. Its space-group type is P312, No. 149. The uncorrected energy comes out at -3.6802 eV/atom.



[3]
LaEr2Hg: relaxed, PBE.

a b c (Å): 3.6322 3.6322 31.8359
angles (deg): 90.00 90.00 120.00
Atoms (fractional coordinates):
La (0.0000, 0.0000, 0.0000)
La (0.3333, 0.6667, 0.6667)
La (0.6667, 0.3333, 0.3333)
Er (0.0000, 0.0000, 0.2405)
Er (0.0000, 0.0000, 0.7595)
Er (0.3333, 0.6667, 0.4261)
Er (0.3333, 0.6667, 0.9072)
Er (0.6667, 0.3333, 0.0928)
Er (0.6667, 0.3333, 0.5739)
Hg (0.0000, 0.0000, 0.5000)
Hg (0.3333, 0.6667, 0.1667)
Hg (0.6667, 0.3333, 0.8333)

Values from the calculation:
As for the density of states at the Fermi level: 3.7 states/eV/f.u. Its space-group type is R-3m, No. 166. The uncorrected energy comes out at -3.7597 eV/atom. The value obtained for the formation energy is -0.1710 eV per atom. Its energy relative to the lowest polymorph listed for this composition is 6.2 kJ/mol of atoms.



[4]
ThZr12Sn6: relaxed, PBE.

a b c (Å): 8.4649 8.4649 8.4649
angles (deg): 110.79 110.79 110.79
Atoms (fractional coordinates):
Th (0.0000, 0.0000, 0.0000)
Zr (0.1051, 0.7316, 0.1874)
Zr (0.1874, 0.1051, 0.7316)
Zr (0.2068, 0.4739, 0.3336)
Zr (0.2684, 0.8126, 0.8949)
Zr (0.3336, 0.2068, 0.4739)
Zr (0.4739, 0.3336, 0.2068)
Zr (0.5261, 0.6664, 0.7932)
Zr (0.6664, 0.7932, 0.5261)
Zr (0.7316, 0.1874, 0.1051)
Zr (0.7932, 0.5261, 0.6664)
Zr (0.8126, 0.8949, 0.2684)
Zr (0.8949, 0.2684, 0.8126)
Sn (0.0710, 0.3569, 0.5783)
Sn (0.3569, 0.5783, 0.0710)
Sn (0.4217, 0.9290, 0.6431)
Sn (0.5783, 0.0710, 0.3569)
Sn (0.6431, 0.4217, 0.9290)
Sn (0.9290, 0.6431, 0.4217)

Values from the calculation:
As for the density of states at the Fermi level: 19.6 states/eV/f.u. Its space-group type is R-3, No. 148. The uncorrected energy comes out at -7.3434 eV/atom. The value obtained for the formation energy is -0.2900 eV per atom.



[5]
Dy4NiAg: relaxed, PBE.

a b c (Å): 9.4419 9.4419 9.4419
angles (deg): 60.00 60.00 60.00
Atoms (fractional coordinates):
Dy (0.0611, 0.0611, 0.4389)
Dy (0.0611, 0.4389, 0.0611)
Dy (0.0611, 0.4389, 0.4389)
Dy (0.1860, 0.1860, 0.8140)
Dy (0.1860, 0.8140, 0.1860)
Dy (0.1860, 0.8140, 0.8140)
Dy (0.1983, 0.6006, 0.6006)
Dy (0.4389, 0.0611, 0.0611)
Dy (0.4389, 0.0611, 0.4389)
Dy (0.4389, 0.4389, 0.0611)
Dy (0.6006, 0.1983, 0.6006)
Dy (0.6006, 0.6006, 0.1983)
Dy (0.6006, 0.6006, 0.6006)
Dy (0.8140, 0.1860, 0.1860)
Dy (0.8140, 0.1860, 0.8140)
Dy (0.8140, 0.8140, 0.1860)
Ni (0.3932, 0.3932, 0.3932)
Ni (0.3932, 0.3932, 0.8203)
Ni (0.3932, 0.8203, 0.3932)
Ni (0.8203, 0.3932, 0.3932)
Ag (0.5038, 0.8321, 0.8321)
Ag (0.8321, 0.5038, 0.8321)
Ag (0.8321, 0.8321, 0.5038)
Ag (0.8321, 0.8321, 0.8321)

Values from the calculation:
As for the density of states at the Fermi level: 5.7 states/eV/f.u. Its space-group type is F-43m, No. 216. The uncorrected energy comes out at -4.7958 eV/atom. The value obtained for the formation energy is -0.2890 eV per atom. Its energy relative to the lowest polymorph listed for this composition is 0.0 kJ/mol of atoms.